Material: AcPrDy
Method: DFT, PBE
State: relaxed

## Properties
* size of the total moment: 0.0 μB/cell
* energy relative to the elements: 0.11 eV/atom
* polymorph energy (0 for the lowest one): 68 meV/atom
* raw total energy: -4.38 eV per atom

Unit cell a=3.637 b=5.953 c=5.953 alpha=120.00 beta=90.00 gamma=90.00
Fractional positions:
1 Ac 0.167 0.000 0.000
2 Pr 0.667 0.667 0.333
3 Dy 0.166 0.333 0.667